(1)
The following is a DFT calculation (SCAN) of LiMg3 at its PBEsol-relaxed geometry.

```
LiMg3
1.0
4.8275 0.0000 0.0000
-2.4137 4.1807 0.0000
0.0000 0.0000 8.6383
Mg Li
6 2
Direct
0.3333 0.6667 0.4227 Mg
0.6667 0.3333 0.9227 Mg
0.6667 0.3333 0.5773 Mg
0.3333 0.6667 0.0773 Mg
0.0000 0.0000 0.7500 Mg
0.0000 0.0000 0.2500 Mg
0.3333 0.6667 0.7500 Li
0.6667 0.3333 0.2500 Li
```

- spin magnetization (μB/f.u.) = 0.00
- raw total energy (eV per atom) = -4.26

---

(2)
The following is a DFT calculation (SCAN) of Li5V4O12F at its PBEsol-relaxed geometry.

```
Li5V4O12F
1.0
-0.0832 4.4084 1.3898
-4.4603 -2.5702 8.2800
8.9465 -1.2301 4.4376
Li V O F
10 8 24 2
Direct
0.4006 0.8663 0.8636 Li
0.5000 0.5000 0.5000 Li
0.5048 0.1644 0.8687 Li
0.0994 0.6337 0.3636 Li
0.9952 0.3356 0.3687 Li
0.0000 0.0000 0.0000 Li
0.0048 0.6644 0.6313 Li
0.9006 0.3663 0.6364 Li
0.4952 0.8356 0.1313 Li
0.5994 0.1337 0.1364 Li
0.4435 0.5081 0.8427 V
0.4419 0.1630 0.5291 V
0.0565 0.9919 0.3427 V
0.9419 0.6630 0.9709 V
0.0581 0.3370 0.0291 V
0.9435 0.0081 0.6573 V
0.5581 0.8370 0.4709 V
0.5565 0.4919 0.1573 V
0.3868 0.6952 0.5158 O
0.3983 0.5059 0.3036 O
0.3621 0.8804 0.3104 O
0.2458 0.5342 0.0424 O
0.3667 0.2936 0.1111 O
0.2330 0.1491 0.3590 O
0.2542 0.9658 0.5424 O
0.1379 0.6196 0.8104 O
0.2670 0.3509 0.8590 O
0.1333 0.2064 0.6111 O
0.1132 0.8048 0.0158 O
0.1017 0.9941 0.8036 O
0.8983 0.0059 0.1964 O
0.8868 0.1952 0.9842 O
0.8667 0.7936 0.3889 O
0.7330 0.6491 0.1410 O
0.8621 0.3804 0.1896 O
0.7458 0.0342 0.4576 O
0.7670 0.8509 0.6410 O
0.6333 0.7064 0.8889 O
0.7542 0.4658 0.9576 O
0.6379 0.1196 0.6896 O
0.6017 0.4941 0.6964 O
0.6132 0.3048 0.4842 O
0.5000 0.0000 0.0000 F
0.0000 0.5000 0.5000 F
```

- spin magnetization (μB/f.u.) = 0.00
- formation energy without anion corrections (eV per atom) = -2.559
- raw total energy (eV per atom) = -9.84